# TcMoPt2 (GGA-PBE, relaxed)
data_TcMoPt2
_cell_length_a 2.7727
_cell_length_b 2.7727
_cell_length_c 27.5127
_cell_angle_alpha 90.00
_cell_angle_beta 90.00
_cell_angle_gamma 120.00
_symmetry_space_group_name_H-M 'R -3 m'
_symmetry_Int_Tables_number 166
_symmetry_space_group_name_Hall '-R 3 2"'
loop_
_atom_site_label
_atom_site_type_symbol
_atom_site_fract_x
_atom_site_fract_y
_atom_site_fract_z
Tc1 Tc 0.0000 0.0000 0.0000
Mo1 Mo 0.0000 0.0000 0.5000
Pt1 Pt 0.0000 0.0000 0.2508
# DOS at the Fermi energy (states/eV/f.u.): 3.93
# Energy (eV for the cell shown): -100.8
# Calculated formation energy (eV per atom): -0.08
# ΔE to the lowest computed polymorph (meV per atom): 175